Density functional theory data (PBE) for a relaxed Co2CuRh crystal.

Output
- ΔH_f (0 K) (eV/f.u.) = 0.62
- mass density (Mg/m³) = 9.548
- E_tot (eV per atom) = -6.260
- total magnetic moment (μB/f.u.) = 4.48

abc: 5.826 5.826 5.826
angles: 90.00 90.00 90.00
Space group F-43m (No. 216)
Asymmetric unit:
Co (0.000, 0.000, 0.000)
Co (0.250, 0.250, 0.250)
Cu (0.000, 0.000, 0.500)
Rh (0.250, 0.250, 0.750)